Computed, not measured: a geometry-optimized MnV3O8 structure at the PBE+U level of DFT.

```
data_MnV3O8
_chemical_formula_sum 'Mn2 V6 O16'
_cell_length_a 12.071
_cell_length_b 3.804
_cell_length_c 6.623
_cell_angle_alpha 90.00
_cell_angle_beta 106.23
_cell_angle_gamma 90.00
_space_group_name_H-M_alt 'C 1 m 1'
_space_group_IT_number 8
loop_
_space_group_symop_operation_xyz
'x,y,z'
'x,-y,z'
'x+1/2,y+1/2,z'
'x+1/2,-y+1/2,z'
loop_
_atom_site_label
_atom_site_type_symbol
_atom_site_fract_x
_atom_site_fract_y
_atom_site_fract_z
_atom_site_occupancy
Mn1 Mn 0.000 0.000 0.000 1
V1 V 0.089 0.500 0.415 1
V2 V 0.195 0.500 0.988 1
V3 V 0.390 0.500 0.415 1
O1 O 0.036 0.500 0.052 1
O2 O 0.048 0.000 0.360 1
O3 O 0.151 0.500 0.681 1
O4 O 0.159 0.000 0.981 1
O5 O 0.236 0.500 0.323 1
O6 O 0.345 0.500 0.049 1
O7 O 0.416 0.500 0.673 1
O8 O 0.422 0.000 0.386 1
```

Output
VASP energy: -7.633 eV/atom